A plane-wave DFT calculation with GGA-PBE was carried out for a relaxed PmAs2 crystal.

Lattice parameters (Å, degrees): 5.756 5.756 5.756 60.00 60.00 60.00
Sites, in units of the cell vectors:
As  0.125  0.625  0.625
As  0.625  0.125  0.625
As  0.625  0.625  0.625
As  0.625  0.625  0.125
Pm  0.000  0.000  0.000
Pm  0.250  0.250  0.250

Output
For the electronic total energy, the calculation gives -5.127 eV per atom. The formation enthalpy at 0 K comes out at -0.444 eV/atom. As for the density: 7.26 g/cm³. For the total magnetization, the calculation gives 0.001 μB per cell.

***

A plane-wave DFT calculation with GGA-PBE was carried out for a relaxed Sr3La crystal.

Lattice parameters (Å, degrees): 7.985 7.985 6.514 90.00 90.00 111.55
Sites, in units of the cell vectors:
Sr  0.113  0.887  0.750
Sr  0.887  0.113  0.250
Sr  0.607  0.883  0.750
Sr  0.393  0.117  0.250
Sr  0.883  0.607  0.250
Sr  0.117  0.393  0.750
La  0.601  0.399  0.750
La  0.399  0.601  0.250

Output
For the electronic total energy, the calculation gives -2.365 eV per atom. The formation enthalpy at 0 K comes out at 0.128 eV/atom. As for the density: 3.45 g/cm³. For the total magnetization, the calculation gives 0.001 μB per cell.

***

A plane-wave DFT calculation with GGA-PBE was carried out for a relaxed ZrMo3C crystal.

Lattice parameters (Å, degrees): 4.251 4.251 4.251 90.00 90.00 90.00
Sites, in units of the cell vectors:
Mo  0.000  0.500  0.000
Mo  0.000  0.000  0.500
Mo  0.500  0.000  0.000
C  0.000  0.000  0.000
Zr  0.500  0.500  0.500

Output
For the electronic total energy, the calculation gives -10.033 eV per atom. The formation enthalpy at 0 K comes out at 0.020 eV/atom. As for the density: 8.45 g/cm³. For the total magnetization, the calculation gives 0.000 μB per cell.

***

A plane-wave DFT calculation with GGA-PBE was carried out for a relaxed Rb2U2Te2As crystal.

Lattice parameters (Å, degrees): 5.466 5.466 9.903 106.02 106.02 90.00
Site moments in Bohr magnetons follow the coordinates.
Sites, in units of the cell vectors:
Rb  0.184  0.184  0.369  0.01
Rb  0.816  0.816  0.631  0.01
U  0.000  0.500  0.000  2.80
U  0.500  0.000  0.000  2.80
Te  0.392  0.392  0.784  -0.05
Te  0.608  0.608  0.216  -0.05
As  0.000  0.000  0.000  -0.08

Output
Its uncorrected formation energy is -0.51 eV per atom. For the electronic total energy, the calculation gives -5.574 eV per atom. As for the density: 5.96 g/cm³. For the total magnetization, the calculation gives 6.515 μB per cell.

***

A plane-wave DFT calculation with GGA-PBE was carried out for a relaxed Er8BiPb5 crystal.

Lattice parameters (Å, degrees): 8.076 8.076 8.076 109.45 109.51 109.45
Sites, in units of the cell vectors:
Er  0.125  0.752  0.021
Er  0.979  0.104  0.731
Er  0.764  0.248  0.371
Er  0.629  0.393  0.877
Er  0.484  0.607  0.236
Er  0.627  0.896  0.875
Er  0.269  0.248  0.373
Er  0.123  0.752  0.516
Bi  0.250  0.500  0.750
Pb  0.003  0.376  0.127
Pb  0.873  0.876  0.249
Pb  0.751  0.624  0.627
Pb  0.500  0.000  0.500
Pb  0.373  0.124  0.997

Output
For the electronic total energy, the calculation gives -4.743 eV per atom. The formation enthalpy at 0 K comes out at -0.534 eV/atom. As for the density: 10.58 g/cm³. For the total magnetization, the calculation gives 0.000 μB per cell.

***

A plane-wave DFT calculation with GGA-PBE was carried out for a relaxed In2AgPt2 crystal.

Lattice parameters (Å, degrees): 7.952 7.952 3.013 90.00 90.00 90.00
Sites, in units of the cell vectors:
Ag  0.000  0.000  0.000
Ag  0.500  0.500  0.000
Pt  0.144  0.644  0.500
Pt  0.644  0.856  0.500
Pt  0.856  0.356  0.500
Pt  0.356  0.144  0.500
In  0.346  0.846  0.000
In  0.846  0.654  0.000
In  0.654  0.154  0.000
In  0.154  0.346  0.000

Output
For the electronic total energy, the calculation gives -4.356 eV per atom. The formation enthalpy at 0 K comes out at -0.274 eV/atom. As for the density: 12.69 g/cm³. For the total magnetization, the calculation gives 0.000 μB per cell.

***

A plane-wave DFT calculation with GGA-PBE was carried out for a relaxed Tc2AsW crystal.

Lattice parameters (Å, degrees): 2.947 4.046 5.117 90.00 90.00 90.00
Sites, in units of the cell vectors:
As  0.500  0.500  0.750
Tc  0.000  0.000  0.997
Tc  0.000  0.000  0.503
W  0.500  0.500  0.250

Output
For the electronic total energy, the calculation gives -9.429 eV per atom. The formation enthalpy at 0 K comes out at 0.155 eV/atom. As for the density: 12.38 g/cm³. For the total magnetization, the calculation gives 0.000 μB per cell.

***

A plane-wave DFT calculation with GGA-PBE was carried out for a relaxed LiDy2Pt2 crystal.

Lattice parameters (Å, degrees): 4.256 5.512 5.512 63.04 67.29 67.29
Sites, in units of the cell vectors:
Li  0.500  0.500  0.000
Dy  0.700  0.800  0.300
Dy  0.300  0.200  0.700
Pt  0.000  0.241  0.259
Pt  0.000  0.759  0.741

Output
For the electronic total energy, the calculation gives -5.652 eV per atom. The formation enthalpy at 0 K comes out at -1.012 eV/atom. As for the density: 11.67 g/cm³. For the total magnetization, the calculation gives 0.000 μB per cell.

***

A plane-wave DFT calculation with GGA-PBE was carried out for a relaxed CaMn2Ru crystal.

Lattice parameters (Å, degrees): 4.617 4.617 4.617 60.00 60.00 60.00
Site moments in Bohr magnetons follow the coordinates.
Sites, in units of the cell vectors:
Ru  0.750  0.750  0.750  0.49
Ca  0.500  0.500  0.500  -0.03
Mn  0.000  0.000  0.000  3.56
Mn  0.250  0.250  0.250  3.72

Output
For the electronic total energy, the calculation gives -6.836 eV per atom. The formation enthalpy at 0 K comes out at 0.568 eV/atom. As for the density: 5.99 g/cm³. For the total magnetization, the calculation gives 8.071 μB per cell.

***

A plane-wave DFT calculation with GGA-PBE was carried out for a relaxed ScHg2Cl crystal.

Lattice parameters (Å, degrees): 3.474 3.474 8.887 90.00 90.00 115.58
Sites, in units of the cell vectors:
Cl  0.500  0.500  0.750
Hg  0.000  0.000  0.998
Hg  0.000  0.000  0.502
Sc  0.500  0.500  0.250

Output
Its uncorrected formation energy is -0.33 eV per atom. For the electronic total energy, the calculation gives -2.526 eV per atom. As for the density: 8.27 g/cm³. For the total magnetization, the calculation gives 0.000 μB per cell.

***

A plane-wave DFT calculation with GGA-PBE was carried out for a relaxed Ba2HgC crystal.

Lattice parameters (Å, degrees): 5.522 5.522 5.522 60.00 60.00 60.00
Sites, in units of the cell vectors:
C  0.000  0.000  0.000
Hg  0.500  0.500  0.500
Ba  0.250  0.250  0.250
Ba  0.750  0.750  0.750

Output
For the electronic total energy, the calculation gives -2.757 eV per atom. The formation enthalpy at 0 K comes out at 0.586 eV/atom. As for the density: 6.80 g/cm³. For the total magnetization, the calculation gives 0.000 μB per cell.

***

A plane-wave DFT calculation with GGA-PBE was carried out for a relaxed ErSb2Ir crystal.

Lattice parameters (Å, degrees): 3.605 3.605 9.805 79.41 79.41 60.00
Sites, in units of the cell vectors:
Sb  0.108  0.108  0.677
Sb  0.892  0.892  0.323
Ir  0.500  0.500  0.500
Er  0.000  0.000  0.000

Output
Its uncorrected formation energy is -0.03 eV per atom. For the electronic total energy, the calculation gives -5.449 eV per atom. As for the density: 9.29 g/cm³. For the total magnetization, the calculation gives 0.000 μB per cell.

***

A plane-wave DFT calculation with GGA-PBE was carried out for a relaxed Pr2ErCd6 crystal.

Lattice parameters (Å, degrees): 3.446 8.779 8.779 120.00 90.00 90.00
Site moments in Bohr magnetons follow the coordinates.
Sites, in units of the cell vectors:
Pr  0.000  0.333  0.667  0.09
Pr  0.000  0.667  0.333  0.09
Er  0.000  0.000  0.000  0.02
Cd  0.500  0.329  0.329  0.00
Cd  0.500  0.671  0.671  0.00
Cd  0.500  0.000  0.671  0.00
Cd  0.500  0.671  0.000  0.00
Cd  0.500  0.329  0.000  0.00
Cd  0.500  0.000  0.329  0.00

Output
For the electronic total energy, the calculation gives -2.506 eV per atom. The formation enthalpy at 0 K comes out at -0.327 eV/atom. As for the density: 8.11 g/cm³. For the total magnetization, the calculation gives 0.375 μB per cell.